(1)
The following is a DFT calculation (PBE-GGA) of a relaxed ReSb crystal.

abc: 3.0745 3.0745 31.8975
angles: 90.00 90.00 120.00
Space group R-3m (No. 166, hexagonal axes)
Unique sites:
Re 0.0000 0.0000 0.1345 x6
Sb 0.0000 0.0000 0.4004 x6

V ... 21.760 Å³ per atom
Energy above the most stable polymorph in this dataset ... 0.223 eV/atom
Formation energy from raw total energies ... 85 kJ/mol of formula units
Spin magnetization ... 0.000 μB per cell
D(E_F) ... 1.11 states/eV per atom
Uncorrected energy ... -7.842 eV/atom


(2)
The following is a DFT calculation (PBE-GGA) of a relaxed ReSb crystal.

abc: 5.319 5.319 5.319
angles: 90.00 90.00 90.00
Space group P2_13 (No. 198)
Unique sites:
Re 0.131 0.369 0.631 x4
Sb 0.081 0.919 0.419 x4

V ... 18.810 Å³ per atom
Energy above the most stable polymorph in this dataset ... 0.381 eV/atom
Formation energy from raw total energies ... 116 kJ/mol of formula units
Spin magnetization ... 0.000 μB per cell
Uncorrected energy ... -7.684 eV/atom


(3)
The following is a DFT calculation (PBE-GGA) of a relaxed ReSb crystal.

abc: 6.361 6.361 5.043
angles: 90.00 90.00 90.00
Space group P4_2/mnm (No. 136)
Unique sites:
Re 0.126 0.126 0.000 x4
Sb 0.217 0.217 0.500 x4

V ... 25.503 Å³ per atom
Energy above the most stable polymorph in this dataset ... 0.708 eV/atom
Formation energy from raw total energies ... 179 kJ/mol of formula units
Spin magnetization ... 0.000 μB per cell
D(E_F) ... 0.87 states/eV per atom
Uncorrected energy ... -7.357 eV/atom


(4)
The following is a DFT calculation (PBE-GGA) of a relaxed Re3Sb4 crystal.

abc: 5.2697 5.2697 6.2181
angles: 90.00 90.00 120.00
Space group P6/mmm (No. 191)
Unique sites:
Re 0.0000 0.5000 0.0000 x3
Sb 0.0000 0.0000 0.2398 x2
Sb 0.3333 0.6667 0.5000 x2

V ... 21.363 Å³ per atom
Energy above the most stable polymorph in this dataset ... 0.472 eV/atom
Formation energy from raw total energies ... 511 kJ/mol of formula units
Spin magnetization ... 0.000 μB per cell
D(E_F) ... 0.64 states/eV per atom
Uncorrected energy ... -6.934 eV/atom


(5)
The following is a DFT calculation (PBE-GGA) of a relaxed ReSb crystal.

abc: 3.180 4.809 4.759
angles: 90.00 90.00 90.00
Space group Pmmn (No. 59, origin choice 2)
Unique sites:
Re 0.250 0.250 0.101 x2
Sb 0.250 0.750 0.376 x2

V ... 18.194 Å³ per atom
Energy above the most stable polymorph in this dataset ... 0.304 eV/atom
Formation energy from raw total energies ... 101 kJ/mol of formula units
Spin magnetization ... 0.000 μB per cell
D(E_F) ... 0.58 states/eV per atom
Uncorrected energy ... -7.761 eV/atom


(6)
The following is a DFT calculation (PBE-GGA) of a relaxed ReSb crystal.

abc: 4.2011 4.2011 18.5184
angles: 90.00 90.00 120.00
Space group R-3m (No. 166, hexagonal axes)
Unique sites:
Re 0.0000 0.0000 0.1535 x6
Sb 0.0000 0.0000 0.4039 x6

V ... 23.587 Å³ per atom
Energy above the most stable polymorph in this dataset ... 0.237 eV/atom
Formation energy from raw total energies ... 88 kJ/mol of formula units
Spin magnetization ... 0.000 μB per cell
D(E_F) ... 0.52 states/eV per atom
Uncorrected energy ... -7.828 eV/atom


(7)
The following is a DFT calculation (PBE-GGA) of a relaxed ReSb crystal.

abc: 3.088 12.121 7.175
angles: 90.00 90.00 90.00
Space group Amm2 (No. 38)
Unique sites:
Re 0.000 0.000 0.000 x2
Re 0.500 0.173 0.915 x4
Sb 0.000 0.173 0.240 x4
Sb 0.500 0.000 0.665 x2

V ... 22.380 Å³ per atom
Energy above the most stable polymorph in this dataset ... 0.344 eV/atom
Formation energy from raw total energies ... 109 kJ/mol of formula units
Spin magnetization ... 0.000 μB per cell
D(E_F) ... 0.78 states/eV per atom
Uncorrected energy ... -7.721 eV/atom


(8)
The following is a DFT calculation (PBE-GGA) of a relaxed ReSb crystal.

abc: 3.1584 3.1584 12.6251
angles: 90.00 90.00 120.00
Space group R-3m (No. 166, hexagonal axes)
Unique sites:
Re 0.0000 0.0000 0.0000 x3
Sb 0.0000 0.0000 0.5000 x3

V ... 18.178 Å³ per atom
Energy above the most stable polymorph in this dataset ... 0.469 eV/atom
Formation energy from raw total energies ... 133 kJ/mol of formula units
Spin magnetization ... 0.000 μB per cell
D(E_F) ... 1.10 states/eV per atom
Uncorrected energy ... -7.596 eV/atom